Computed, not measured: a geometry-optimized Er5Tm3In structure at the GGA-PBE level of DFT.

Calculated values
formation energy: 0.2019 eV/atom

a b c (Å): 9.141 9.141 9.332
angles (deg): 119.32 119.32 90.00
Fractional positions:
1 Tm 0.387 0.887 0.000
2 Er 0.500 0.500 0.000
3 Tm 0.887 0.613 0.000
4 Er 0.175 0.060 0.735
5 Er 0.940 0.440 0.265
6 Tm 0.750 0.750 0.500
7 In 0.750 0.250 0.500
8 In 0.250 0.750 0.500
9 Er 0.000 0.000 0.000
10 Er 0.560 0.675 0.735
11 Er 0.440 0.325 0.265
12 Tm 0.613 0.113 0.000
13 Er 0.675 0.175 0.735
14 Er 0.325 0.825 0.265
15 Tm 0.250 0.250 0.500
16 Er 0.825 0.940 0.265
17 Er 0.060 0.560 0.735
18 Tm 0.113 0.387 0.000

***

Computed, not measured: a geometry-optimized Zn2TcAg structure at the GGA-PBE level of DFT.

Calculated values
formation energy: 0.2944 eV/atom

a b c (Å): 5.027 5.027 5.027
angles (deg): 135.72 135.72 64.41
Fractional positions:
1 Zn 0.250 0.750 0.500
2 Ag 0.500 0.500 0.000
3 Tc 0.750 0.250 0.500
4 Zn 0.000 0.000 0.000

***

Computed, not measured: a geometry-optimized Y2Mn2Zn structure at the GGA-PBE level of DFT.

Calculated values
formation energy: 0.0709 eV/atom

a b c (Å): 6.732 6.732 4.300
angles (deg): 90.00 90.00 90.00
Fractional positions:
1 Mn 0.392 0.892 0.000
2 Y 0.816 0.316 0.500
3 Mn 0.108 0.392 0.000
4 Mn 0.608 0.108 0.000
5 Y 0.184 0.684 0.500
6 Zn 0.000 0.000 0.000
7 Y 0.316 0.184 0.500
8 Y 0.684 0.816 0.500
9 Zn 0.500 0.500 0.000
10 Mn 0.892 0.608 0.000

***

Computed, not measured: a geometry-optimized ZnCu2PdPt5 structure at the GGA-PBE level of DFT.

Calculated values
formation energy: 0.1406 eV/atom

a b c (Å): 6.124 6.124 8.641
angles (deg): 110.75 110.75 90.00
Fractional positions:
1 Zn 0.750 0.750 0.500
2 Cu 0.376 0.876 0.000
3 Pt 0.500 0.500 0.000
4 Pt 0.369 0.869 0.278
5 Pt 0.000 0.000 0.000
6 Cu 0.876 0.624 0.000
7 Cu 0.124 0.376 0.000
8 Pt 0.869 0.909 0.278
9 Zn 0.250 0.250 0.500
10 Pd 0.750 0.250 0.500
11 Pt 0.409 0.369 0.278
12 Pt 0.131 0.091 0.722
13 Pd 0.250 0.750 0.500
14 Pt 0.091 0.591 0.722
15 Pt 0.909 0.409 0.278
16 Cu 0.624 0.124 0.000
17 Pt 0.591 0.631 0.722
18 Pt 0.631 0.131 0.722

***

Computed, not measured: a geometry-optimized Pr3PuTl3S8 structure at the GGA-PBE level of DFT.

Calculated values
formation energy from raw total energies: -1425 meV/atom

a b c (Å): 8.340 8.340 8.936
angles (deg): 117.82 90.00 120.00
Fractional positions:
1 Pr 0.500 0.500 0.500
2 S 0.223 0.446 0.696
3 Pu 0.000 0.000 0.500
4 Tl 0.500 0.500 0.000
5 S 0.777 0.027 0.304
6 Pr 0.000 0.500 0.500
7 S 0.265 0.530 0.294
8 Tl 0.000 0.500 0.000
9 S 0.223 0.973 0.696
10 S 0.777 0.554 0.304
11 S 0.735 0.470 0.706
12 Pr 0.500 0.000 0.500
13 S 0.750 0.973 0.696
14 S 0.250 0.027 0.304
15 Tl 0.000 0.000 0.000

***

Computed, not measured: a geometry-optimized RbY2Tl2 structure at the GGA-PBE level of DFT.

Calculated values
formation energy: -0.1342 eV/atom

a b c (Å): 9.589 9.589 3.479
angles (deg): 90.00 90.00 90.00
Fractional positions:
1 Y 0.126 0.374 0.000
2 Rb 0.000 0.000 0.000
3 Y 0.626 0.126 0.000
4 Y 0.874 0.626 0.000
5 Tl 0.172 0.672 0.500
6 Tl 0.328 0.172 0.500
7 Tl 0.828 0.328 0.500
8 Rb 0.500 0.500 0.000
9 Tl 0.672 0.828 0.500
10 Y 0.374 0.874 0.000

***

Computed, not measured: a geometry-optimized LaDy4Ho structure at the GGA-PBE level of DFT.

Calculated values
formation energy: 0.1400 eV/atom

a b c (Å): 6.440 9.071 8.637
angles (deg): 112.42 99.82 112.66
Fractional positions:
1 Ho 0.750 0.000 0.001
2 Ho 0.250 0.000 0.999
3 Dy 0.637 0.103 0.391
4 La 0.667 0.417 0.834
5 La 0.333 0.583 0.166
6 Dy 0.195 0.575 0.735
7 Dy 0.805 0.425 0.265
8 Dy 0.747 0.712 0.609
9 Dy 0.959 0.840 0.265
10 Dy 0.253 0.288 0.391
11 Dy 0.041 0.160 0.735
12 Dy 0.363 0.897 0.609

***

Computed, not measured: a geometry-optimized NaNbRu structure at the GGA-PBE level of DFT.

Calculated values
formation energy: 0.0493 eV/atom

a b c (Å): 3.230 3.230 11.808
angles (deg): 90.00 90.00 90.00
Fractional positions:
1 Na 0.000 0.500 0.129
2 Ru 0.000 0.500 0.687
3 Ru 0.500 0.000 0.313
4 Na 0.500 0.000 0.871
5 Nb 0.000 0.500 0.422
6 Nb 0.500 0.000 0.578

***

Computed, not measured: a geometry-optimized MgTa3 structure at the GGA-PBE level of DFT.

Calculated values
formation energy: 0.2837 eV/atom

a b c (Å): 5.339 5.339 2.860
angles (deg): 90.00 90.00 113.53
Fractional positions:
1 Ta 0.000 0.500 0.500
2 Mg 0.000 0.000 0.000
3 Ta 0.500 0.000 0.500
4 Ta 0.500 0.500 0.000

***

Computed, not measured: a geometry-optimized YCrOs2 structure at the GGA-PBE level of DFT.

Calculated values
formation energy: 0.4775 eV/atom

a b c (Å): 9.323 9.323 9.323
angles (deg): 17.55 17.55 17.55
Fractional positions:
1 Y 0.250 0.250 0.250
2 Os 0.488 0.488 0.488
3 Os 0.012 0.012 0.012
4 Cr 0.750 0.750 0.750

***

Computed, not measured: a geometry-optimized Tb8Cd2Sb structure at the GGA-PBE level of DFT.

Calculated values
formation energy from raw total energies: -150 meV/atom

a b c (Å): 5.576 8.471 8.471
angles (deg): 118.40 100.63 100.63
Fractional positions:
1 Sb 0.500 0.000 0.000
2 Cd 0.000 0.307 0.693
3 Tb 0.116 0.314 0.089
4 Tb 0.116 0.089 0.314
5 Cd 0.000 0.693 0.307
6 Tb 0.884 0.911 0.686
7 Tb 0.701 0.398 0.398
8 Tb 0.500 0.776 0.224
9 Tb 0.500 0.224 0.776
10 Tb 0.884 0.686 0.911
11 Tb 0.299 0.602 0.602

***

Computed, not measured: a geometry-optimized GaAg4Au7 structure at the GGA-PBE level of DFT.

Calculated values
formation energy: 0.0309 eV/atom

a b c (Å): 4.969 9.560 5.668
angles (deg): 83.68 64.00 74.94
Fractional positions:
1 Au 0.195 0.082 0.527
2 Ag 0.404 0.771 0.422
3 Au 0.500 0.000 0.000
4 Ag 0.596 0.229 0.578
5 Au 0.041 0.622 0.295
6 Ag 0.273 0.308 0.147
7 Au 0.805 0.918 0.473
8 Ga 0.000 0.000 0.000
9 Au 0.652 0.468 0.229
10 Ag 0.727 0.692 0.853
11 Au 0.959 0.378 0.705
12 Au 0.348 0.532 0.771

***

Computed, not measured: a geometry-optimized PaCo2Te3 structure at the GGA-PBE level of DFT.

Calculated values
formation energy from raw total energies: -411 meV/atom

a b c (Å): 4.034 7.710 10.854
angles (deg): 105.71 90.00 90.00
Fractional positions:
1 Co 0.250 0.982 0.582
2 Te 0.250 0.402 0.141
3 Pa 0.250 0.784 0.311
4 Co 0.750 0.584 0.092
5 Co 0.750 0.018 0.418
6 Co 0.250 0.416 0.908
7 Te 0.250 0.060 0.837
8 Te 0.750 0.759 0.532
9 Pa 0.750 0.216 0.689
10 Te 0.750 0.940 0.163
11 Te 0.250 0.241 0.468
12 Te 0.750 0.598 0.859

***

Computed, not measured: a geometry-optimized U6BSe12 structure at the GGA-PBE level of DFT.

Calculated values
formation energy from raw total energies: -862 meV/atom

a b c (Å): 8.041 8.041 8.041
angles (deg): 100.33 100.33 100.33
Fractional positions:
1 U 0.874 0.372 0.711
2 Se 0.177 0.430 0.573
3 Se 0.060 0.968 0.300
4 U 0.628 0.289 0.126
5 B 0.000 0.000 0.000
6 Se 0.573 0.177 0.430
7 Se 0.940 0.032 0.700
8 Se 0.968 0.300 0.060
9 Se 0.823 0.570 0.427
10 U 0.289 0.126 0.628
11 Se 0.570 0.427 0.823
12 Se 0.700 0.940 0.032
13 U 0.126 0.628 0.289
14 U 0.711 0.874 0.372
15 Se 0.300 0.060 0.968
16 Se 0.427 0.823 0.570
17 U 0.372 0.711 0.874
18 Se 0.430 0.573 0.177
19 Se 0.032 0.700 0.940

***

Computed, not measured: a geometry-optimized TbPaTlO6 structure at the GGA-PBE level of DFT.

Calculated values
formation energy from raw total energies: -2387 meV/atom

a b c (Å): 4.867 5.704 5.704
angles (deg): 120.00 90.00 90.00
Fractional positions:
1 O 0.252 0.017 0.667
2 O 0.748 0.650 0.667
3 Tb 0.500 0.667 0.333
4 Pa 0.000 0.333 0.667
5 O 0.748 0.017 0.350
6 Tl 0.500 0.000 0.000
7 O 0.748 0.333 0.983
8 O 0.252 0.650 0.983
9 O 0.252 0.333 0.350

***

Computed, not measured: a geometry-optimized NdScRu2 structure at the GGA-PBE level of DFT.

Calculated values
formation energy: -0.2522 eV/atom

a b c (Å): 3.352 3.352 6.758
angles (deg): 90.00 90.00 90.00
Fractional positions:
1 Nd 0.500 0.500 0.500
2 Sc 0.500 0.500 0.000
3 Ru 0.000 0.000 0.229
4 Ru 0.000 0.000 0.771